# 1
Density functional theory data (PBEsol) for RbBa2Pt2 after structural relaxation.

Summary:
Crystal system: tetragonal
Total moment in μB/f.u.: 0.000
Space group: No. 139
Calculated total energy in eV/cell: -20.50

a b c (Å): 7.0398 7.0398 7.0398
angles (deg): 135.08 135.08 65.41
Last column: nearest neighbours and their distance in Å.
Sites, in units of the cell vectors:
Rb: 0.0000 0.0000 0.0000  8 Ba 4.00, 8 Pt 4.02
Ba: 0.2500 0.7500 0.5000  4 Pt 3.15
Ba: 0.7500 0.2500 0.5000  4 Pt 3.15
Pt: 0.3889 0.3889 0.0000  1 Pt 2.63
Pt: 0.6111 0.6111 0.0000  1 Pt 2.63

---

# 2
Density functional theory data (PBEsol) for RbBaSb2Pt after structural relaxation.

Summary:
Crystal system: tetragonal
E_form (uncorrected) in eV per atom: 1.389
Total moment in μB/f.u.: 0.001
Space group: No. 123

a b c (Å): 5.7177 5.7177 5.9555
angles (deg): 90.00 90.00 90.00
Last column: nearest neighbours and their distance in Å.
Sites, in units of the cell vectors:
Rb: 0.0000 0.0000 0.0000  4 Sb 2.86, 2 Ba 2.98
Ba: 0.0000 0.0000 0.5000  2 Rb 2.98
Sb: 0.0000 0.5000 0.0000  2 Rb 2.86
Sb: 0.5000 0.0000 0.0000  2 Rb 2.86
Pt: 0.5000 0.5000 0.5000  4 Ba 4.04, 8 Sb 4.13